Record 1
Compound: K5La4
Source: Alexandria
Functional: PBE-GGA
Structure: relaxed

abc: 11.7607 11.7607 8.0467
angles: 90.00 90.00 120.00
Each line ends with the local moment (μB).
Fractional coordinates of all 18 atoms:
1 K 0.0000 0.6040 0.2500  0.00
2 K 0.3960 0.3960 0.2500  0.00
3 K 0.6040 0.0000 0.2500  0.00
4 K 0.0000 0.3960 0.7500  0.00
5 K 0.6040 0.6040 0.7500  0.00
6 K 0.3960 0.0000 0.7500  0.00
7 K 0.6667 0.3333 0.0000  0.00
8 K 0.3333 0.6667 0.5000  0.00
9 K 0.3333 0.6667 0.0000  0.00
10 K 0.6667 0.3333 0.5000  0.00
11 La 0.0000 0.0000 0.0000  0.29
12 La 0.0000 0.0000 0.5000  0.29
13 La 0.0000 0.2018 0.2500  0.13
14 La 0.7982 0.7982 0.2500  0.13
15 La 0.2018 0.0000 0.2500  0.13
16 La 0.0000 0.7982 0.7500  0.13
17 La 0.2018 0.2018 0.7500  0.13
18 La 0.7982 0.0000 0.7500  0.13

Output
Its density of states at the Fermi level is 20.59 states/eV per cell. Its uncorrected energy is -43.396 eV/cell. The energy above the most stable polymorph in this dataset comes out at 9.76 kJ per mole of atoms. For the density, the calculation gives 2.588 g/cm3. As for the energy relative to the elements: 3.50 eV/f.u. The size of the total moment comes out at 2.02 μB per cell.



Record 2
Compound: KLa
Source: Alexandria
Functional: PBE-GGA
Structure: relaxed

abc: 7.4135 7.4135 3.3984
angles: 90.00 90.00 90.00
Fractional coordinates of all 4 atoms:
1 K 0.2500 0.7500 0.0000
2 K 0.7500 0.2500 0.0000
3 La 0.2500 0.2500 0.3158
4 La 0.7500 0.7500 0.6842

Output
Its density of states at the Fermi level is 8.47 states/eV per cell. Its uncorrected energy is -9.304 eV/cell. For the density, the calculation gives 3.165 g/cm3. As for the energy relative to the elements: 1.37 eV/f.u. The size of the total moment comes out at 0.06 μB per cell.



Record 3
Compound: KLa3
Source: Alexandria
Functional: PBE-GGA
Structure: relaxed

abc: 5.9407 5.9407 5.9407
angles: 90.00 90.00 90.00
Fractional coordinates of all 4 atoms:
1 K 0.0000 0.0000 0.0000
2 La 0.5000 0.0000 0.0000
3 La 0.0000 0.5000 0.0000
4 La 0.0000 0.0000 0.5000

Output
Its density of states at the Fermi level is 7.31 states/eV per cell. Its uncorrected energy is -9.449 eV/cell. For the density, the calculation gives 3.610 g/cm3. As for the energy relative to the elements: 6.43 eV/f.u. The size of the total moment comes out at 0.00 μB per cell.



Record 4
Compound: KLa3
Source: Alexandria
Functional: PBE-GGA
Structure: relaxed

abc: 8.0802 8.0802 5.9575
angles: 90.00 90.00 120.00
Fractional coordinates of all 8 atoms:
1 K 0.3333 0.6667 0.2500
2 K 0.6667 0.3333 0.7500
3 La 0.8472 0.6944 0.2500
4 La 0.3056 0.1528 0.2500
5 La 0.8472 0.1528 0.2500
6 La 0.1528 0.3056 0.7500
7 La 0.6944 0.8472 0.7500
8 La 0.1528 0.8472 0.7500

Output
Its density of states at the Fermi level is 14.22 states/eV per cell. Its uncorrected energy is -28.449 eV/cell. For the density, the calculation gives 4.494 g/cm3. As for the energy relative to the elements: 1.66 eV/f.u. The size of the total moment comes out at 0.01 μB per cell.



Record 5
Compound: K2La
Source: Alexandria
Functional: PBE-GGA
Structure: relaxed

abc: 8.5259 8.5259 10.5259
angles: 73.49 73.49 25.78
Fractional coordinates of all 6 atoms:
1 K 0.0108 0.0108 0.9806
2 K 0.3450 0.3450 0.3252
3 K 0.6648 0.6648 0.6555
4 K 0.6074 0.6074 0.2900
5 La 0.9119 0.9119 0.6656
6 La 0.2934 0.2934 0.9163

Output
Its density of states at the Fermi level is 6.36 states/eV per cell. Its uncorrected energy is -12.330 eV/cell. The energy above the most stable polymorph in this dataset comes out at 6.24 kJ per mole of atoms. For the density, the calculation gives 2.265 g/cm3. As for the energy relative to the elements: 0.96 eV/f.u. The size of the total moment comes out at 0.00 μB per cell.



Record 6
Compound: KLa
Source: Alexandria
Functional: PBE-GGA
Structure: relaxed

abc: 12.0080 12.0080 12.0080
angles: 90.00 90.00 90.00
Fractional coordinates of all 16 atoms:
1 K 0.2117 0.2117 0.2117
2 K 0.2117 0.7883 0.7883
3 K 0.7883 0.2117 0.7883
4 K 0.7883 0.7883 0.2117
5 K 0.7117 0.7117 0.7117
6 K 0.7117 0.2883 0.2883
7 K 0.2883 0.7117 0.2883
8 K 0.2883 0.2883 0.7117
9 La 0.4082 0.4082 0.4082
10 La 0.4082 0.5918 0.5918
11 La 0.5918 0.4082 0.5918
12 La 0.5918 0.5918 0.4082
13 La 0.9082 0.9082 0.9082
14 La 0.9082 0.0918 0.0918
15 La 0.0918 0.9082 0.0918
16 La 0.0918 0.0918 0.9082

Output
Its density of states at the Fermi level is 4.45 states/eV per cell. Its uncorrected energy is -34.778 eV/cell. For the density, the calculation gives 1.366 g/cm3. As for the energy relative to the elements: 1.68 eV/f.u. The size of the total moment comes out at 0.00 μB per cell.